Computed, not measured: a relaxed structure of Nd6Cu2Au at the PBE level of DFT.

Cell lengths 9.844, 10.014, 10.241 Å; angles 90.00, 90.00, 90.00 degrees
Space group Immm (No. 71)
One atom of each set of equivalent atoms:
Nd 0.000 0.187 0.250 x8
Nd 0.196 0.500 0.174 x8
Nd 0.228 0.324 0.500 x8
Cu 0.000 0.356 0.000 x4
Cu 0.000 0.500 0.381 x4
Au 0.000 0.000 0.000 x2
Au 0.000 0.000 0.500 x2

Computed properties:
E: -4.675 eV per atom
ΔH_f (0 K): -0.222 eV/atom
D(E_F): 40.5 states/eV/cell
Calculated volume: 1009.6 Å³/cell
Spin magnetization: 0.000 μB/atom